(1)
! PBE Zn2CdBr, optimized geometry; values from VASP
! - E above lowest polymorph: 0.2869 eV per atom
! - Space-group type: No. 139
! - Uncorrected formation energy: 0.1069 eV per atom
! - Crystal system: tetragonal
&SYSTEM
  ibrav = 0, nat = 4, ntyp = 3
/
ATOMIC_SPECIES
Br 79.90 Br.upf
Cd 112.41 Cd.upf
Zn 65.41 Zn.upf
CELL_PARAMETERS angstrom
-4.378 4.328 -1.905
-5.300 1.781 3.206
6.338 -0.960 0.664
ATOMIC_POSITIONS crystal
Br 0.250 0.750 0.500
Cd 0.750 0.250 0.500
Zn 0.000 0.000 0.000
Zn 0.500 0.500 0.000



(2)
! PBE ZrCdBr2, optimized geometry; values from VASP
! - E above lowest polymorph: 0.7355 eV per atom
! - Space-group type: No. 119
! - Uncorrected formation energy: -0.0429 eV per atom
! - Crystal system: tetragonal
&SYSTEM
  ibrav = 0, nat = 4, ntyp = 3
/
ATOMIC_SPECIES
Br 79.90 Br.upf
Zr 91.22 Zr.upf
Cd 112.41 Cd.upf
CELL_PARAMETERS angstrom
-0.181 -2.982 5.520
-3.294 -5.237 1.057
4.062 2.486 -4.089
ATOMIC_POSITIONS crystal
Br 0.000 0.000 0.000
Br 0.750 0.250 0.500
Zr 0.250 0.750 0.500
Cd 0.500 0.500 0.000



(3)
! PBE ZrCd2Br, optimized geometry; values from VASP
! - E above lowest polymorph: 0.0435 eV per atom
! - Space-group type: No. 99
! - Uncorrected formation energy: -0.2894 eV per atom
! - Crystal system: tetragonal
&SYSTEM
  ibrav = 0, nat = 4, ntyp = 3
/
ATOMIC_SPECIES
Br 79.90 Br.upf
Zr 91.22 Zr.upf
Cd 112.41 Cd.upf
CELL_PARAMETERS angstrom
3.282 0.000 0.000
0.000 3.282 0.000
0.000 0.000 9.393
ATOMIC_POSITIONS crystal
Br 0.500 0.500 0.677
Zr 0.000 0.000 0.490
Cd 0.000 0.000 0.061
Cd 0.500 0.500 0.272



(4)
! PBE ZrCd2Br, optimized geometry; values from VASP
! - E above lowest polymorph: 0.1689 eV per atom
! - Space-group type: No. 6
! - Uncorrected formation energy: -0.1640 eV per atom
! - Crystal system: monoclinic
&SYSTEM
  ibrav = 0, nat = 4, ntyp = 3
/
ATOMIC_SPECIES
Br 79.90 Br.upf
Zr 91.22 Zr.upf
Cd 112.41 Cd.upf
CELL_PARAMETERS angstrom
-3.138 -4.025 0.104
1.013 -0.866 -2.937
4.147 -3.172 2.356
ATOMIC_POSITIONS crystal
Br 0.500 0.624 0.710
Zr 0.000 0.625 0.515
Cd 0.000 0.124 0.010
Cd 0.500 0.127 0.264



(5)
! PBE ZrCd2Br, optimized geometry; values from VASP
! - E above lowest polymorph: 0.1645 eV per atom
! - Space-group type: No. 8
! - Uncorrected formation energy: -0.1685 eV per atom
! - Crystal system: monoclinic
&SYSTEM
  ibrav = 0, nat = 4, ntyp = 3
/
ATOMIC_SPECIES
Br 79.90 Br.upf
Zr 91.22 Zr.upf
Cd 112.41 Cd.upf
CELL_PARAMETERS angstrom
-1.807 -5.324 0.344
1.524 -5.417 0.258
0.081 -2.075 5.376
ATOMIC_POSITIONS crystal
Br 0.218 0.218 0.344
Zr 0.503 0.503 0.408
Cd 0.010 0.010 0.941
Cd 0.769 0.769 0.807



(6)
! PBE ZrCdBr2, optimized geometry; values from VASP
! - E above lowest polymorph: 0.4181 eV per atom
! - Space-group type: No. 10
! - Uncorrected formation energy: -0.3604 eV per atom
! - Crystal system: monoclinic
&SYSTEM
  ibrav = 0, nat = 4, ntyp = 3
/
ATOMIC_SPECIES
Br 79.90 Br.upf
Zr 91.22 Zr.upf
Cd 112.41 Cd.upf
CELL_PARAMETERS angstrom
-0.548 -3.839 2.431
3.570 -0.271 0.378
1.205 3.340 5.546
ATOMIC_POSITIONS crystal
Br 0.000 0.857 0.975
Br 0.000 0.643 0.525
Zr 0.500 0.750 0.750
Cd 0.500 0.250 0.250



(7)
! PBE ZrCdBr2, optimized geometry; values from VASP
! - E above lowest polymorph: 0.3486 eV per atom
! - Space-group type: No. 38
! - Uncorrected formation energy: -0.4299 eV per atom
! - Crystal system: orthorhombic
&SYSTEM
  ibrav = 0, nat = 4, ntyp = 3
/
ATOMIC_SPECIES
Br 79.90 Br.upf
Zr 91.22 Zr.upf
Cd 112.41 Cd.upf
CELL_PARAMETERS angstrom
-2.678 -2.462 3.658
3.070 -1.386 1.315
2.052 3.477 3.843
ATOMIC_POSITIONS crystal
Br 0.000 0.817 0.991
Br 0.500 0.219 0.188
Zr 0.500 0.927 0.771
Cd 0.000 0.537 0.550



(8)
! PBE ZrCdBr2, optimized geometry; values from VASP
! - E above lowest polymorph: 0.9291 eV per atom
! - Space-group type: No. 216
! - Uncorrected formation energy: 0.1506 eV per atom
! - Crystal system: cubic
&SYSTEM
  ibrav = 0, nat = 4, ntyp = 3
/
ATOMIC_SPECIES
Br 79.90 Br.upf
Zr 91.22 Zr.upf
Cd 112.41 Cd.upf
CELL_PARAMETERS angstrom
5.245 0.000 0.000
2.622 4.542 0.000
2.622 1.514 4.282
ATOMIC_POSITIONS crystal
Br 0.000 0.000 0.000
Br 0.750 0.750 0.750
Zr 0.250 0.250 0.250
Cd 0.500 0.500 0.500



(9)
! PBE Zr3CdBr, optimized geometry; values from VASP
! - E above lowest polymorph: 0.0000 eV per atom
! - Space-group type: No. 221
! - Uncorrected formation energy: 0.3554 eV per atom
! - Crystal system: cubic
&SYSTEM
  ibrav = 0, nat = 5, ntyp = 3
/
ATOMIC_SPECIES
Br 79.90 Br.upf
Zr 91.22 Zr.upf
Cd 112.41 Cd.upf
CELL_PARAMETERS angstrom
-0.849 3.952 -2.934
-3.749 -2.448 -2.213
-3.189 1.826 3.382
ATOMIC_POSITIONS crystal
Br 0.000 0.000 0.000
Zr 0.000 0.500 0.000
Zr 0.000 0.000 0.500
Zr 0.500 0.000 0.000
Cd 0.500 0.500 0.500



(10)
! PBE ZrCdBr2, optimized geometry; values from VASP
! - E above lowest polymorph: 0.1176 eV per atom
! - Space-group type: No. 8
! - Uncorrected formation energy: -0.6608 eV per atom
! - Crystal system: monoclinic
&SYSTEM
  ibrav = 0, nat = 4, ntyp = 3
/
ATOMIC_SPECIES
Br 79.90 Br.upf
Zr 91.22 Zr.upf
Cd 112.41 Cd.upf
CELL_PARAMETERS angstrom
7.702 0.084 0.114
6.909 3.405 0.114
5.213 1.245 5.443
ATOMIC_POSITIONS crystal
Br 0.906 0.906 0.109
Br 0.750 0.750 0.831
Zr 0.287 0.287 0.051
Cd 0.558 0.558 0.510



(11)
! PBE ZrCdBr2, optimized geometry; values from VASP
! - E above lowest polymorph: 0.7322 eV per atom
! - Space-group type: No. 123
! - Uncorrected formation energy: -0.0463 eV per atom
! - Crystal system: tetragonal
&SYSTEM
  ibrav = 0, nat = 4, ntyp = 3
/
ATOMIC_SPECIES
Br 79.90 Br.upf
Zr 91.22 Zr.upf
Cd 112.41 Cd.upf
CELL_PARAMETERS angstrom
-4.463 2.023 -2.028
-0.427 -4.182 -3.232
-1.854 -1.673 2.410
ATOMIC_POSITIONS crystal
Br 0.000 0.000 0.000
Br 0.500 0.500 0.000
Zr 0.000 0.500 0.500
Cd 0.500 0.000 0.500



(12)
! PBE ZrCdBr2, optimized geometry; values from VASP
! - E above lowest polymorph: 0.6066 eV per atom
! - Space-group type: No. 47
! - Uncorrected formation energy: -0.1719 eV per atom
! - Crystal system: orthorhombic
&SYSTEM
  ibrav = 0, nat = 4, ntyp = 3
/
ATOMIC_SPECIES
Br 79.90 Br.upf
Zr 91.22 Zr.upf
Cd 112.41 Cd.upf
CELL_PARAMETERS angstrom
3.435 0.000 0.000
0.000 5.924 0.000
0.000 0.000 4.733
ATOMIC_POSITIONS crystal
Br 0.000 0.000 0.000
Br 0.500 0.500 0.000
Zr 0.000 0.500 0.500
Cd 0.500 0.000 0.500



(13)
! PBE ZrCdBr2, optimized geometry; values from VASP
! - E above lowest polymorph: 0.6865 eV per atom
! - Space-group type: No. 65
! - Uncorrected formation energy: -0.0919 eV per atom
! - Crystal system: orthorhombic
&SYSTEM
  ibrav = 0, nat = 4, ntyp = 3
/
ATOMIC_SPECIES
Br 79.90 Br.upf
Zr 91.22 Zr.upf
Cd 112.41 Cd.upf
CELL_PARAMETERS angstrom
5.387 0.033 0.000
-1.422 5.196 0.000
0.000 0.000 3.416
ATOMIC_POSITIONS crystal
Br 0.000 0.000 0.000
Br 0.500 0.500 0.000
Zr 0.000 0.500 0.500
Cd 0.500 0.000 0.500



(14)
! PBE ZrCdBr2, optimized geometry; values from VASP
! - E above lowest polymorph: 0.0109 eV per atom
! - Space-group type: No. 166
! - Uncorrected formation energy: -0.7675 eV per atom
! - Crystal system: trigonal
&SYSTEM
  ibrav = 0, nat = 4, ntyp = 3
/
ATOMIC_SPECIES
Br 79.90 Br.upf
Zr 91.22 Zr.upf
Cd 112.41 Cd.upf
CELL_PARAMETERS angstrom
-6.461 7.777 5.627
-3.634 7.917 7.616
-3.825 9.837 4.743
ATOMIC_POSITIONS crystal
Br 0.890 0.890 0.890
Br 0.110 0.110 0.110
Zr 0.500 0.500 0.500
Cd 0.000 0.000 0.000



(15)
! PBE ZrCd2Br, optimized geometry; values from VASP
! - E above lowest polymorph: 0.0974 eV per atom
! - Space-group type: No. 44
! - Uncorrected formation energy: -0.2355 eV per atom
! - Crystal system: orthorhombic
&SYSTEM
  ibrav = 0, nat = 4, ntyp = 3
/
ATOMIC_SPECIES
Br 79.90 Br.upf
Zr 91.22 Zr.upf
Cd 112.41 Cd.upf
CELL_PARAMETERS angstrom
7.764 0.994 -0.148
4.813 6.173 0.148
-5.621 -4.754 2.662
ATOMIC_POSITIONS crystal
Br 0.329 0.829 0.500
Zr 0.479 0.479 0.000
Cd 0.037 0.037 0.000
Cd 0.655 0.155 0.500



Across the entries above, total magnetization takes the values 0.0; 0.0; 0.0; 0.0; 0.0; 0.7; 0.0; 2.0; 0.0; 0.0; 1.3; 0.0; 0.6; 0.0; 0.0 μB/cell, respectively.